[1]
VASP calculation (GGA-PBE) on an optimized crystal structure of K2Na4Zn.

Symmetry: I4/mmm, No. 139
Calculated formation energy (eV/atom): 0.11

a b c (Å): 10.5881 10.5881 10.5881
angles (deg): 148.14 148.14 45.68
Closest atoms and distances in Å follow each position.
Fractional coordinates of all 7 atoms:
K (0.1453, 0.1453, 0.0000)  9 Na 3.96-4.11
K (0.8547, 0.8547, 0.0000)  9 Na 3.96-4.11
Na (0.0000, 0.5000, 0.5000)  2 Zn 2.91
Na (0.3482, 0.3482, 0.0000)  1 Zn 2.96
Na (0.5000, 0.0000, 0.5000)  2 Zn 2.91
Na (0.6518, 0.6518, 0.0000)  1 Zn 2.96
Zn (0.5000, 0.5000, 0.0000)  6 Na 2.91-2.96

---

[2]
VASP calculation (GGA-PBE) on an optimized crystal structure of ZrHgPb4.

Symmetry: F-43m, No. 216
Calculated formation energy (eV/atom): 0.38

a b c (Å): 6.3354 6.3354 6.3354
angles (deg): 60.00 60.00 60.00
Closest atoms and distances in Å follow each position.
Fractional coordinates of all 6 atoms:
Zr (0.0000, 0.0000, 0.0000)  12 Pb 3.71, 4 Hg 3.88
Hg (0.7500, 0.7500, 0.7500)  12 Pb 3.72, 4 Zr 3.88
Pb (0.3743, 0.3743, 0.3743)  6 Pb 3.15-3.18
Pb (0.3743, 0.3743, 0.8770)  6 Pb 3.15-3.18
Pb (0.3743, 0.8770, 0.3743)  6 Pb 3.15-3.18
Pb (0.8770, 0.3743, 0.3743)  6 Pb 3.15-3.18

---

[3]
VASP calculation (GGA-PBE) on an optimized crystal structure of IrRh2Pb.

Symmetry: P4/mmm, No. 123
Calculated formation energy (eV/atom): 0.27

a b c (Å): 2.9704 2.9704 7.6555
angles (deg): 90.00 90.00 90.00
Closest atoms and distances in Å follow each position.
Fractional coordinates of all 4 atoms:
Ir (0.0000, 0.0000, 0.0000)  8 Rh 2.71, 4 Ir 2.97
Rh (0.5000, 0.5000, 0.2228)  4 Ir 2.71, 4 Rh 2.97, 4 Pb 2.99
Rh (0.5000, 0.5000, 0.7772)  4 Ir 2.71, 4 Rh 2.97, 4 Pb 2.99
Pb (0.0000, 0.0000, 0.5000)  4 Pb 2.97, 8 Rh 2.99

---

[4]
VASP calculation (GGA-PBE) on an optimized crystal structure of SrScSe.

Symmetry: Fmm2, No. 42
Raw formation energy (eV/f.u.): -2.64

a b c (Å): 6.8130 6.8115 3.6432
angles (deg): 74.51 74.47 31.02
Closest atoms and distances in Å follow each position.
Fractional coordinates of all 3 atoms:
Sr (0.0000, 0.0000, 0.0000)  4 Se 3.50-3.51, 5 Sc 3.59-3.75, 4 Sr 3.64
Sc (0.2844, 0.2844, 0.7156)  4 Se 2.84-2.85
Se (0.6884, 0.6884, 0.3116)  4 Sc 2.84-2.85

---

[5]
VASP calculation (GGA-PBE) on an optimized crystal structure of LaCe3Pa2P6.

Symmetry: C2/m, No. 12
Calculated formation energy (eV/atom): -1.44

a b c (Å): 7.0557 7.0557 7.0541
angles (deg): 99.60 99.60 119.98
Closest atoms and distances in Å follow each position.
Fractional coordinates of all 12 atoms:
La (0.0000, 0.0000, 0.0000)  6 P 2.93-2.94
Ce (0.1634, 0.8366, 0.5000)  6 P 2.85-2.94
Ce (0.5000, 0.5000, 0.5000)  6 P 2.83-2.93
Ce (0.8366, 0.1634, 0.5000)  6 P 2.85-2.94
Pa (0.3328, 0.6672, 0.0000)  6 P 2.82-2.83
Pa (0.6672, 0.3328, 0.0000)  6 P 2.82-2.83
P (0.0822, 0.4285, 0.2459)  2 Pa 2.82-2.83, 3 Ce 2.85-2.94, 1 La 2.94
P (0.2651, 0.2651, 0.7562)  2 Pa 2.82, 3 Ce 2.83-2.92, 1 La 2.93
P (0.4285, 0.0822, 0.2459)  2 Pa 2.82-2.83, 3 Ce 2.85-2.94, 1 La 2.94
P (0.5715, 0.9178, 0.7541)  2 Pa 2.82-2.83, 3 Ce 2.85-2.94, 1 La 2.94
P (0.7349, 0.7349, 0.2438)  2 Pa 2.82, 3 Ce 2.83-2.92, 1 La 2.93
P (0.9178, 0.5715, 0.7541)  2 Pa 2.82-2.83, 3 Ce 2.85-2.94, 1 La 2.94

---

[6]
VASP calculation (GGA-PBE) on an optimized crystal structure of K2AgS2.

Symmetry: C2/m, No. 12
Raw formation energy (eV/f.u.): -3.23

a b c (Å): 7.6673 7.6673 9.8271
angles (deg): 122.23 122.23 47.94
Closest atoms and distances in Å follow each position.
Fractional coordinates of all 10 atoms:
K (0.0495, 0.0495, 0.2684)  4 S 3.10-3.23
K (0.3175, 0.3175, 0.9376)  4 S 3.14-3.17
K (0.6825, 0.6825, 0.0624)  4 S 3.14-3.17
K (0.9505, 0.9505, 0.7316)  4 S 3.10-3.23
Ag (0.3672, 0.3672, 0.3771)  3 S 2.37-2.51
Ag (0.6328, 0.6328, 0.6229)  3 S 2.37-2.51
S (0.1855, 0.1855, 0.1083)  1 Ag 2.37
S (0.4772, 0.4772, 0.6740)  2 Ag 2.37-2.51
S (0.5228, 0.5228, 0.3260)  2 Ag 2.37-2.51
S (0.8145, 0.8145, 0.8917)  1 Ag 2.37

---

[7]
VASP calculation (GGA-PBE) on an optimized crystal structure of LaPrAgSn.

Symmetry: F-43m, No. 216
Calculated formation energy (eV/atom): -0.53

a b c (Å): 5.4780 5.4780 5.4780
angles (deg): 60.00 60.00 60.00
Closest atoms and distances in Å follow each position.
Fractional coordinates of all 4 atoms:
La (0.0000, 0.0000, 0.0000)  4 Sn 3.35, 4 Ag 3.35
Pr (0.5000, 0.5000, 0.5000)  4 Ag 3.35, 4 Sn 3.35
Ag (0.7500, 0.7500, 0.7500)  4 La 3.35, 4 Pr 3.35
Sn (0.2500, 0.2500, 0.2500)  4 Pr 3.35, 4 La 3.35

---

[8]
VASP calculation (GGA-PBE) on an optimized crystal structure of Tb2TmTl.

Symmetry: Fm-3m, No. 225
Calculated formation energy (eV/atom): -0.04

a b c (Å): 5.4589 5.4589 5.4589
angles (deg): 60.00 60.00 60.00
Closest atoms and distances in Å follow each position.
Fractional coordinates of all 4 atoms:
Tb (0.2500, 0.2500, 0.2500)  4 Tl 3.34, 4 Tm 3.34
Tb (0.7500, 0.7500, 0.7500)  4 Tl 3.34, 4 Tm 3.34
Tm (0.0000, 0.0000, 0.0000)  8 Tb 3.34
Tl (0.5000, 0.5000, 0.5000)  8 Tb 3.34

---

[9]
VASP calculation (GGA-PBE) on an optimized crystal structure of La12Tb2Dy5.

Symmetry: C2/m, No. 12
Calculated formation energy (eV/atom): 0.10

a b c (Å): 8.8943 8.8943 9.5868
angles (deg): 110.01 110.01 83.08
Closest atoms and distances in Å follow each position.
Fractional coordinates of all 19 atoms:
La (0.0235, 0.5468, 0.6852)  3 La 3.24-3.51, 2 Dy 3.41-3.60, 1 Tb 3.42
La (0.0620, 0.0620, 0.2787)  2 Dy 3.39-3.74, 4 La 3.39-3.52, 2 Tb 3.64
La (0.1359, 0.6567, 0.0946)  5 La 3.47-3.88, 1 Tb 3.49, 4 Dy 3.54-3.77
La (0.3433, 0.8641, 0.9054)  5 La 3.47-3.88, 1 Tb 3.49, 4 Dy 3.54-3.77
La (0.4022, 0.4022, 0.5792)  5 La 3.56-3.84, 4 Dy 3.63-3.82, 2 Tb 3.80
La (0.4532, 0.9765, 0.3148)  3 La 3.24-3.51, 2 Dy 3.41-3.60, 1 Tb 3.42
La (0.5468, 0.0235, 0.6852)  3 La 3.24-3.51, 2 Dy 3.41-3.60, 1 Tb 3.42
La (0.5978, 0.5978, 0.4208)  5 La 3.56-3.84, 4 Dy 3.63-3.82, 2 Tb 3.80
La (0.6567, 0.1359, 0.0946)  5 La 3.47-3.88, 1 Tb 3.49, 4 Dy 3.54-3.77
La (0.8641, 0.3433, 0.9054)  5 La 3.47-3.88, 1 Tb 3.49, 4 Dy 3.54-3.77
La (0.9380, 0.9380, 0.7213)  2 Dy 3.39-3.74, 4 La 3.39-3.52, 2 Tb 3.64
La (0.9765, 0.4532, 0.3148)  3 La 3.24-3.51, 2 Dy 3.41-3.60, 1 Tb 3.42
Tb (0.2154, 0.7846, 0.5000)  8 La 3.42-3.80, 2 Dy 3.58
Tb (0.7846, 0.2154, 0.5000)  8 La 3.42-3.80, 2 Dy 3.58
Dy (0.1955, 0.1955, 0.7300)  6 La 3.39-3.77, 2 Dy 3.54-3.68, 2 Tb 3.58
Dy (0.2819, 0.2819, 0.1381)  9 La 3.54-3.82, 2 Dy 3.54-3.70
Dy (0.5000, 0.5000, 0.0000)  6 La 3.63-3.65, 4 Dy 3.68-3.70
Dy (0.7181, 0.7181, 0.8619)  9 La 3.54-3.82, 2 Dy 3.54-3.70
Dy (0.8045, 0.8045, 0.2700)  6 La 3.39-3.77, 2 Dy 3.54-3.68, 2 Tb 3.58

---

[10]
VASP calculation (GGA-PBE) on an optimized crystal structure of RbNaICl.

Symmetry: F-43m, No. 216
Raw formation energy (eV/f.u.): -5.75

a b c (Å): 5.7686 5.7686 5.7686
angles (deg): 60.00 60.00 60.00
Closest atoms and distances in Å follow each position.
Fractional coordinates of all 4 atoms:
Rb (0.0000, 0.0000, 0.0000)  4 Cl 3.53, 4 I 3.53
Na (0.5000, 0.5000, 0.5000)  4 I 3.53, 4 Cl 3.53
I (0.7500, 0.7500, 0.7500)  4 Na 3.53, 4 Rb 3.53
Cl (0.2500, 0.2500, 0.2500)  4 Na 3.53, 4 Rb 3.53

---

[11]
VASP calculation (GGA-PBE) on an optimized crystal structure of NbCdSeBr2.

Symmetry: P4/mmm, No. 123
Raw formation energy (eV/f.u.): -1.38

a b c (Å): 5.2820 5.2820 5.0436
angles (deg): 90.00 90.00 90.00
Closest atoms and distances in Å follow each position.
Fractional coordinates of all 5 atoms:
Nb (0.0000, 0.0000, 0.0000)  2 Se 2.52, 4 Br 2.64
Cd (0.5000, 0.5000, 0.5000)  8 Br 3.65, 4 Se 3.73
Se (0.0000, 0.0000, 0.5000)  2 Nb 2.52
Br (0.0000, 0.5000, 0.0000)  2 Nb 2.64
Br (0.5000, 0.0000, 0.0000)  2 Nb 2.64

---

[12]
VASP calculation (GGA-PBE) on an optimized crystal structure of Ac8InGa2.

Symmetry: C2/m, No. 12
Calculated formation energy (eV/atom): -0.20

a b c (Å): 10.2556 10.2556 8.2523
angles (deg): 109.27 109.27 30.56
Closest atoms and distances in Å follow each position.
Fractional coordinates of all 11 atoms:
Ac (0.0324, 0.0324, 0.2656)  1 Ga 3.31, 2 In 3.51
Ac (0.1959, 0.1959, 0.8076)  3 Ga 3.25-3.56
Ac (0.3279, 0.3279, 0.5370)  3 Ga 3.22-3.57, 1 In 3.52
Ac (0.4062, 0.4062, 0.0315)  2 Ga 3.44, 1 In 3.67, 3 Ac 3.74-3.84
Ac (0.5938, 0.5938, 0.9685)  2 Ga 3.44, 1 In 3.67, 3 Ac 3.74-3.84
Ac (0.6721, 0.6721, 0.4630)  3 Ga 3.22-3.57, 1 In 3.52
Ac (0.8041, 0.8041, 0.1924)  3 Ga 3.25-3.56
Ac (0.9676, 0.9676, 0.7344)  1 Ga 3.31, 2 In 3.51
In (0.5000, 0.5000, 0.5000)  8 Ac 3.51-3.67
Ga (0.1871, 0.1871, 0.1939)  9 Ac 3.22-3.57
Ga (0.8129, 0.8129, 0.8061)  9 Ac 3.22-3.57

---

[13]
VASP calculation (GGA-PBE) on an optimized crystal structure of Sr2Be2BiO6.

Symmetry: R-3m, No. 166
Raw formation energy (eV/f.u.): -24.48

a b c (Å): 6.5756 6.5756 6.5756
angles (deg): 49.77 49.77 49.77
Closest atoms and distances in Å follow each position.
Fractional coordinates of all 11 atoms:
Sr (0.2086, 0.2086, 0.2086)  9 O 2.65-2.84
Sr (0.7914, 0.7914, 0.7914)  9 O 2.65-2.84
Be (0.4193, 0.4193, 0.4193)  3 O 1.54
Be (0.5807, 0.5807, 0.5807)  3 O 1.54
Bi (0.0000, 0.0000, 0.0000)  6 O 2.25
O (0.2558, 0.7390, 0.7390)  1 Be 1.54
O (0.2610, 0.2610, 0.7442)  1 Be 1.54
O (0.2610, 0.7442, 0.2610)  1 Be 1.54
O (0.7390, 0.2558, 0.7390)  1 Be 1.54
O (0.7390, 0.7390, 0.2558)  1 Be 1.54
O (0.7442, 0.2610, 0.2610)  1 Be 1.54

---

[14]
VASP calculation (GGA-PBE) on an optimized crystal structure of CeNpZnIr.

Symmetry: F-43m, No. 216
Calculated formation energy (eV/atom): -0.32

a b c (Å): 4.7623 4.7623 4.7623
angles (deg): 60.00 60.00 60.00
Closest atoms and distances in Å follow each position.
Fractional coordinates of all 4 atoms:
Ce (0.0000, 0.0000, 0.0000)  4 Zn 2.92, 4 Np 2.92
Np (0.2500, 0.2500, 0.2500)  4 Ce 2.92, 4 Ir 2.92
Zn (0.7500, 0.7500, 0.7500)  4 Ce 2.92, 4 Ir 2.92
Ir (0.5000, 0.5000, 0.5000)  4 Zn 2.92, 4 Np 2.92

---

[15]
VASP calculation (GGA-PBE) on an optimized crystal structure of YSiNi3.

Symmetry: Cmmm, No. 65
Raw formation energy (eV/f.u.): -1.98

a b c (Å): 11.0426 11.0426 3.7595
angles (deg): 90.00 90.00 160.22
Closest atoms and distances in Å follow each position.
Fractional coordinates of all 10 atoms:
Y (0.1699, 0.8301, 0.0000)  10 Ni 2.86-3.15, 4 Si 2.97
Y (0.8301, 0.1699, 0.0000)  10 Ni 2.86-3.15, 4 Si 2.97
Si (0.3896, 0.6104, 0.5000)  5 Ni 2.24-2.32
Si (0.6104, 0.3896, 0.5000)  5 Ni 2.24-2.32
Ni (0.0545, 0.9455, 0.5000)  2 Si 2.25, 1 Ni 2.37
Ni (0.2828, 0.7172, 0.5000)  1 Si 2.32, 2 Ni 2.37
Ni (0.4457, 0.5543, 0.0000)  2 Si 2.24, 1 Ni 2.36
Ni (0.5543, 0.4457, 0.0000)  2 Si 2.24, 1 Ni 2.36
Ni (0.7172, 0.2828, 0.5000)  1 Si 2.32, 2 Ni 2.37
Ni (0.9455, 0.0545, 0.5000)  2 Si 2.25, 1 Ni 2.37

---

[16]
VASP calculation (GGA-PBE) on an optimized crystal structure of TcMoSeN2.

Symmetry: P4/mmm, No. 123
Raw formation energy (eV/f.u.): 4.51

a b c (Å): 3.8406 3.8406 5.3470
angles (deg): 90.00 90.00 90.00
Closest atoms and distances in Å follow each position.
Fractional coordinates of all 5 atoms:
Tc (0.0000, 0.0000, 0.0000)  4 N 1.92
Mo (0.5000, 0.5000, 0.5000)  4 Se 2.72
Se (0.0000, 0.0000, 0.5000)  2 Tc 2.67, 4 Mo 2.72
N (0.0000, 0.5000, 0.0000)  2 Tc 1.92
N (0.5000, 0.0000, 0.0000)  2 Tc 1.92

---

[17]
VASP calculation (GGA-PBE) on an optimized crystal structure of Hf3Ti3Al2.

Symmetry: Pmmm, No. 47
Calculated formation energy (eV/atom): -0.23

a b c (Å): 4.2139 4.2155 8.3200
angles (deg): 90.00 90.00 90.00
Closest atoms and distances in Å follow each position.
Fractional coordinates of all 8 atoms:
Hf (0.0000, 0.0000, 0.0000)  4 Hf 2.98, 4 Al 2.99, 4 Ti 2.99
Hf (0.0000, 0.0000, 0.5000)  8 Ti 2.93-2.98, 4 Al 2.93
Hf (0.5000, 0.5000, 0.0000)  4 Hf 2.98, 4 Al 2.99, 4 Ti 2.99
Ti (0.0000, 0.5000, 0.2555)  2 Ti 2.93, 6 Hf 2.93-2.99, 4 Al 2.98
Ti (0.0000, 0.5000, 0.7445)  2 Ti 2.93, 6 Hf 2.93-2.99, 4 Al 2.98
Ti (0.5000, 0.5000, 0.5000)  4 Ti 2.93, 4 Al 2.93, 4 Hf 2.98
Al (0.5000, 0.0000, 0.2546)  6 Hf 2.93-2.99, 6 Ti 2.93-2.98
Al (0.5000, 0.0000, 0.7454)  6 Hf 2.93-2.99, 6 Ti 2.93-2.98

---

| no. | total energy (eV per atom) |
| --- | --- |
| 1 | -1.1407 |
| 2 | -3.5650 |
| 3 | -6.5472 |
| 4 | -4.7138 |
| 5 | -7.6224 |
| 6 | -3.3066 |
| 7 | -4.6730 |
| 8 | -4.0669 |
| 9 | -4.7116 |
| 10 | -2.8587 |
| 11 | -3.8396 |
| 12 | -3.9873 |
| 13 | -6.2660 |
| 14 | -7.5698 |
| 15 | -6.2421 |
| 16 | -7.3642 |
| 17 | -7.8556 |